Entry 1:
VASP calculation (meta-GGA SCAN) on ZrTl2Re at its PBEsol-relaxed geometry.

The structure belongs to space group F-43m (No. 216); the cell edges are 6.862, 6.862 and 6.862 Å and the angles 90.00°, 90.00° and 90.00°. Symmetry generates all atoms from Zr at (0.000, 0.000, 0.000), Tl at (0.000, 0.000, 0.500), Tl at (0.250, 0.250, 0.250) and Re at (0.250, 0.250, 0.750).

=====

Entry 2:
VASP calculation (meta-GGA SCAN) on Zr2TlRe at its PBEsol-relaxed geometry.

The structure belongs to space group P4/mmm (No. 123); the cell edges are 3.304, 3.304 and 7.260 Å and the angles 90.00°, 90.00° and 90.00°. Symmetry generates all atoms from Zr at (0.000, 0.000, 0.215), Tl at (0.500, 0.500, 0.500) and Re at (0.500, 0.500, 0.000).

=====

Entry 3:
VASP calculation (meta-GGA SCAN) on Zr2TlRe at its PBEsol-relaxed geometry.

The structure belongs to space group Fm-3m (No. 225); the cell edges are 6.779, 6.779 and 6.779 Å and the angles 90.00°, 90.00° and 90.00°. Symmetry generates all atoms from Zr at (0.250, 0.250, 0.250), Tl at (0.000, 0.000, 0.000) and Re at (0.000, 0.000, 0.500).

=====

Entry 4:
VASP calculation (meta-GGA SCAN) on V3Re at its PBEsol-relaxed geometry.

The structure belongs to space group Fm-3m (No. 225); the cell edges are 5.956, 5.956 and 5.956 Å and the angles 90.00°, 90.00° and 90.00°. Symmetry generates all atoms from V at (0.000, 0.000, 0.000), V at (0.250, 0.250, 0.250) and Re at (0.000, 0.000, 0.500).

=====

Entry 5:
VASP calculation (meta-GGA SCAN) on VReW at its PBEsol-relaxed geometry.

The structure belongs to space group I4mm (No. 107); the cell edges are 3.057, 3.057 and 9.205 Å and the angles 90.00°, 90.00° and 90.00°. Symmetry generates all atoms from V at (0.000, 0.000, 0.000), Re at (0.000, 0.000, 0.663) and W at (0.000, 0.000, 0.335).

=====

Entry 6:
VASP calculation (meta-GGA SCAN) on Re2W at its PBEsol-relaxed geometry.

The structure belongs to space group I4/mmm (No. 139); the cell edges are 3.115, 3.115 and 9.317 Å and the angles 90.00°, 90.00° and 90.00°. Symmetry generates all atoms from Re at (0.000, 0.000, 0.164) and W at (0.000, 0.000, 0.500).

=====

Entry 7:
VASP calculation (meta-GGA SCAN) on ReW8 at its PBEsol-relaxed geometry.

The structure belongs to space group I4/mmm (No. 139); the cell edges are 9.435, 9.435 and 3.145 Å and the angles 90.00°, 90.00° and 90.00°. Symmetry generates all atoms from Re at (0.000, 0.000, 0.000), W at (0.000, 0.333, 0.000) and W at (0.166, 0.166, 0.500).

=====

Entry 8:
VASP calculation (meta-GGA SCAN) on Re3W at its PBEsol-relaxed geometry.

The structure belongs to space group Pmmm (No. 47); the cell edges are 2.763, 3.909 and 5.539 Å and the angles 90.00°, 90.00° and 90.00°. Symmetry generates all atoms from Re at (0.000, 0.000, 0.000), Re at (0.500, 0.500, 0.245) and W at (0.000, 0.000, 0.500).

=====

Entry 9:
VASP calculation (meta-GGA SCAN) on Re3W at its PBEsol-relaxed geometry.

The structure belongs to space group R-3m (No. 166, hexagonal axes); the cell edges are 2.7635, 2.7635 and 27.1579 Å and the angles 90.00°, 90.00° and 120.00°. Symmetry generates all atoms from Re at (0.0000, 0.0000, 0.0000), Re at (0.0000, 0.0000, 0.2518) and W at (0.0000, 0.0000, 0.5000).

=====

Entry 10:
VASP calculation (meta-GGA SCAN) on YRe2W at its PBEsol-relaxed geometry.

The structure belongs to space group P4mm (No. 99); the cell edges are 3.116, 3.116 and 7.242 Å and the angles 90.00°, 90.00° and 90.00°. Symmetry generates all atoms from Y at (0.000, 0.000, 0.000), Re at (0.000, 0.000, 0.494), Re at (0.500, 0.500, 0.290) and W at (0.500, 0.500, 0.705).

=====

Entry 11:
VASP calculation (meta-GGA SCAN) on Y2ReW at its PBEsol-relaxed geometry.

The structure belongs to space group I4/mmm (No. 139); the cell edges are 3.998, 3.998 and 9.782 Å and the angles 90.00°, 90.00° and 90.00°. Symmetry generates all atoms from Y at (0.000, 0.500, 0.250), Re at (0.000, 0.000, 0.000) and W at (0.000, 0.000, 0.500).

=====

Entry 12:
VASP calculation (meta-GGA SCAN) on YRe2W at its PBEsol-relaxed geometry.

The structure belongs to space group F-43m (No. 216); the cell edges are 6.412, 6.412 and 6.412 Å and the angles 90.00°, 90.00° and 90.00°. Symmetry generates all atoms from Y at (0.000, 0.000, 0.000), Re at (0.000, 0.000, 0.500), Re at (0.250, 0.250, 0.250) and W at (0.250, 0.250, 0.750).

=====

no.,density (g/cm3),formation energy from the elements (eV/atom)
1,14.1,0.71
2,12.0,-0.35
3,12.2,-0.15
4,10.7,-0.35
5,16.3,-0.28
6,20.4,0.11
7,19.7,0.01
8,20.6,0.13
9,20.6,0.15
10,15.2,0.30
11,11.6,0.68
12,16.3,0.34